one) Density functional theory data (PBE) for a geometry-optimized Ba2Tl8Pb structure.

abc: 6.0824 10.0579 12.1760
angles: 140.80 109.74 94.03
Atoms (fractional coordinates):
Ba (0.6257, 0.5048, 0.7937)
Ba (0.3743, 0.4952, 0.2063)
Tl (0.9337, 0.3644, 0.5283)
Tl (0.0387, 0.8374, 0.3177)
Tl (0.4119, 0.8055, 0.1477)
Tl (0.0663, 0.6356, 0.4717)
Tl (0.7903, 0.8184, 0.7389)
Tl (0.9613, 0.1626, 0.6823)
Tl (0.2097, 0.1816, 0.2611)
Tl (0.5881, 0.1945, 0.8523)
Pb (0.5000, 0.0000, 0.0000)

Output
Calculated volume in Å³/cell: 367.6


two) Density functional theory data (PBE) for a geometry-optimized Ba2Tl8Pb structure.

abc: 5.2554 5.2554 13.7453
angles: 90.00 90.00 90.00
Atoms (fractional coordinates):
Tl (0.5000, 0.5000, 0.6639)
Tl (0.5000, 0.0000, 0.1373)
Tl (0.5000, 0.0000, 0.8627)
Tl (0.5000, 0.5000, 0.3361)
Tl (0.0000, 0.5000, 0.8627)
Tl (0.0000, 0.5000, 0.5000)
Tl (0.0000, 0.5000, 0.1373)
Tl (0.5000, 0.0000, 0.5000)
Ba (0.0000, 0.0000, 0.6881)
Ba (0.0000, 0.0000, 0.3119)
Pb (0.0000, 0.0000, 0.0000)

Output
Calculated volume in Å³/cell: 379.6


Quick ranking, most stable first: one), two).


one) Density functional theory data (PBE) for a geometry-optimized Ba2Tl4Pb3 structure.

abc: 6.8482 9.9399 9.8816
angles: 90.00 110.27 90.00
Atoms (fractional coordinates):
Tl (0.1939, 0.7500, 0.8877)
Tl (0.6786, 0.5235, 0.3572)
Tl (0.6939, 0.7500, 0.8877)
Tl (0.3061, 0.2500, 0.1123)
Tl (0.1786, 0.9765, 0.3572)
Tl (0.8214, 0.0235, 0.6428)
Tl (0.3214, 0.4765, 0.6428)
Tl (0.8061, 0.2500, 0.1123)
Ba (0.8867, 0.4207, 0.7734)
Ba (0.3867, 0.0793, 0.7734)
Ba (0.6133, 0.9207, 0.2266)
Ba (0.1133, 0.5793, 0.2266)
Pb (0.0237, 0.7500, 0.5474)
Pb (0.5000, 0.5000, 0.0000)
Pb (0.0000, 0.0000, 0.0000)
Pb (0.4763, 0.2500, 0.4526)
Pb (0.5237, 0.7500, 0.5474)
Pb (0.9763, 0.2500, 0.4526)

Output
Calculated volume in Å³/cell: 631.0


two) Density functional theory data (PBE) for a geometry-optimized Ba2Tl4Pb3 structure.

abc: 5.3683 5.9308 11.0182
angles: 80.24 90.00 63.09
Atoms (fractional coordinates):
Pb (0.6565, 0.6870, 0.5612)
Pb (0.3435, 0.3130, 0.4388)
Pb (0.0000, 0.0000, 0.0000)
Tl (0.6677, 0.6646, 0.8955)
Tl (0.3323, 0.3354, 0.1045)
Tl (0.0131, 0.9739, 0.3527)
Tl (0.9869, 0.0261, 0.6473)
Ba (0.3318, 0.3364, 0.7752)
Ba (0.6682, 0.6636, 0.2248)

Output
Calculated volume in Å³/cell: 307.1


Quick ranking, most stable first: two), one).


one) Density functional theory data (PBE) for a geometry-optimized Ba4Tl2Pb structure.

abc: 6.7716 6.7716 9.7951
angles: 69.78 69.78 90.00
Each line ends with the local moment (μB).
Atoms (fractional coordinates):
Tl (0.5956, 0.5956, 0.8088)  0.08
Tl (0.4044, 0.4044, 0.1912)  0.08
Pb (0.0000, 0.0000, 0.0000)  0.06
Ba (0.1988, 0.1988, 0.6024)  0.09
Ba (0.5000, 0.0000, 0.0000)  0.06
Ba (0.8012, 0.8012, 0.3976)  0.09
Ba (0.0000, 0.5000, 0.0000)  0.06

Output
Calculated volume in Å³/cell: 391.8


two) Density functional theory data (PBE) for a geometry-optimized Ba4Tl2Pb structure.

abc: 6.0691 6.0691 10.4225
angles: 73.07 73.07 60.00
Atoms (fractional coordinates):
Ba (0.6238, 0.6238, 0.1287)
Ba (0.1240, 0.1240, 0.6280)
Ba (0.3762, 0.3762, 0.8713)
Ba (0.8760, 0.8760, 0.3720)
Tl (0.7486, 0.7486, 0.7543)
Tl (0.2514, 0.2514, 0.2457)
Pb (0.0000, 0.0000, 0.0000)

Output
Calculated volume in Å³/cell: 313.1


Quick ranking, most stable first: two), one).


one) Density functional theory data (PBE) for a geometry-optimized Ba2Tl7Pb structure.

abc: 8.4620 8.4620 8.4620
angles: 60.00 60.00 60.00
Atoms (fractional coordinates):
Tl (0.2512, 0.7488, 0.7488)
Tl (0.5000, 0.5000, 0.5000)
Tl (0.7488, 0.2512, 0.7488)
Tl (0.7488, 0.7488, 0.2512)
Tl (0.2512, 0.7488, 0.2512)
Tl (0.2512, 0.2512, 0.7488)
Tl (0.7488, 0.2512, 0.2512)
Ba (0.7500, 0.7500, 0.7500)
Ba (0.2500, 0.2500, 0.2500)
Pb (0.0000, 0.0000, 0.0000)

Output
Calculated volume in Å³/cell: 428.4


two) Density functional theory data (PBE) for a geometry-optimized Ba2Tl7Pb structure.

abc: 5.4196 5.4196 12.2362
angles: 90.00 90.00 90.00
Atoms (fractional coordinates):
Ba (0.0000, 0.5000, 0.2461)
Ba (0.5000, 0.0000, 0.7539)
Tl (0.5000, 0.0000, 0.3728)
Tl (0.0000, 0.5000, 0.6272)
Tl (0.5000, 0.5000, 0.5000)
Tl (0.0000, 0.0000, 0.0000)
Tl (0.0000, 0.5000, 0.8703)
Tl (0.5000, 0.0000, 0.1297)
Tl (0.0000, 0.0000, 0.5000)
Pb (0.5000, 0.5000, 0.0000)

Output
Calculated volume in Å³/cell: 359.4


Quick ranking, most stable first: two), one).


one) Density functional theory data (PBE) for a geometry-optimized BaVPb3 structure.

abc: 6.2100 6.2100 6.2100
angles: 90.00 90.00 90.00
Each line ends with the local moment (μB).
Atoms (fractional coordinates):
V (0.5000, 0.5000, 0.5000)  3.18
Pb (0.0000, 0.0000, 0.5000)  -0.04
Pb (0.0000, 0.5000, 0.0000)  -0.04
Pb (0.5000, 0.0000, 0.0000)  -0.04
Ba (0.0000, 0.0000, 0.0000)  -0.08

Output
Calculated volume in Å³/cell: 239.5


two) Density functional theory data (PBE) for a geometry-optimized BaVPb3 structure.

abc: 5.3889 5.3889 5.3889
angles: 90.00 90.00 90.00
Atoms (fractional coordinates):
Pb (0.0000, 0.5000, 0.0000)
Pb (0.0000, 0.0000, 0.5000)
Pb (0.5000, 0.0000, 0.0000)
Ba (0.5000, 0.5000, 0.5000)
V (0.0000, 0.0000, 0.0000)

Output
Calculated volume in Å³/cell: 156.5


Quick ranking, most stable first: two), one).


one) Density functional theory data (PBE) for a geometry-optimized Ba2PbW2 structure.

abc: 5.2074 5.2074 7.4869
angles: 69.65 69.65 90.00
Atoms (fractional coordinates):
Ba (0.7500, 0.2500, 0.5000)
Ba (0.2500, 0.7500, 0.5000)
W (0.4182, 0.4182, 0.1636)
W (0.5818, 0.5818, 0.8364)
Pb (0.0000, 0.0000, 0.0000)

Output
Calculated volume in Å³/cell: 176.8


two) Density functional theory data (PBE) for a geometry-optimized Ba2PbW2 structure.

abc: 9.4761 9.4761 3.5761
angles: 90.00 90.00 90.00
Atoms (fractional coordinates):
Ba (0.7954, 0.2954, 0.5000)
Ba (0.7046, 0.7954, 0.5000)
Ba (0.2046, 0.7046, 0.5000)
Ba (0.2954, 0.2046, 0.5000)
Pb (0.0000, 0.0000, 0.0000)
Pb (0.5000, 0.5000, 0.0000)
W (0.4182, 0.9182, 0.0000)
W (0.5818, 0.0818, 0.0000)
W (0.9182, 0.5818, 0.0000)
W (0.0818, 0.4182, 0.0000)

Output
Calculated volume in Å³/cell: 321.1


Quick ranking, most stable first: two), one).


one) Density functional theory data (PBE) for a geometry-optimized BaYPb structure.

abc: 5.5971 5.5971 5.5971
angles: 60.00 60.00 60.00
Atoms (fractional coordinates):
Ba (0.5000, 0.5000, 0.5000)
Pb (0.7500, 0.7500, 0.7500)
Y (0.0000, 0.0000, 0.0000)

Output
Calculated volume in Å³/cell: 124.0


two) Density functional theory data (PBE) for a geometry-optimized BaYPb structure.

abc: 7.1653 7.1653 7.1653
angles: 149.11 142.66 49.22
Each line ends with the local moment (μB).
Atoms (fractional coordinates):
Ba (0.9882, 0.9882, 0.0000)  0.02
Y (0.7095, 0.7095, 0.0000)  0.08
Pb (0.3023, 0.3023, 0.0000)  0.01

Output
Calculated volume in Å³/cell: 114.1


three) Density functional theory data (PBE) for a geometry-optimized BaYPb structure.

abc: 5.6133 5.6133 5.6133
angles: 60.00 60.00 60.00
Atoms (fractional coordinates):
Ba (0.7500, 0.7500, 0.7500)
Pb (0.0000, 0.0000, 0.0000)
Y (0.5000, 0.5000, 0.5000)

Output
Calculated volume in Å³/cell: 125.1


four) Density functional theory data (PBE) for a geometry-optimized BaYPb structure.

abc: 5.3141 5.3141 4.8713
angles: 90.00 90.00 120.00
Atoms (fractional coordinates):
Pb (0.3333, 0.6667, 0.4997)
Ba (0.0000, 0.0000, 0.9999)
Y (0.6667, 0.3333, 0.5004)

Output
Calculated volume in Å³/cell: 119.1


Quick ranking, most stable first: four), two), one), three).


one) Density functional theory data (PBE) for a geometry-optimized BaYPb3 structure.

abc: 5.8842 5.8842 5.8842
angles: 90.00 90.00 90.00
Atoms (fractional coordinates):
Pb (0.0000, 0.0000, 0.5000)
Pb (0.5000, 0.0000, 0.0000)
Pb (0.0000, 0.5000, 0.0000)
Y (0.0000, 0.0000, 0.0000)
Ba (0.5000, 0.5000, 0.5000)

Output
Calculated volume in Å³/cell: 203.7


two) Density functional theory data (PBE) for a geometry-optimized BaYPb3 structure.

abc: 6.0741 6.0741 6.0741
angles: 90.00 90.00 90.00
Atoms (fractional coordinates):
Pb (0.0000, 0.5000, 0.0000)
Pb (0.5000, 0.0000, 0.0000)
Pb (0.0000, 0.0000, 0.5000)
Y (0.5000, 0.5000, 0.5000)
Ba (0.0000, 0.0000, 0.0000)

Output
Calculated volume in Å³/cell: 224.1


Quick ranking, most stable first: one), two).


one) Density functional theory data (PBE) for a geometry-optimized Ba2Zn2Pb structure.

abc: 7.9674 7.9674 5.1553
angles: 90.00 90.00 90.00
Atoms (fractional coordinates):
Zn (0.6113, 0.1113, 0.0000)
Zn (0.1113, 0.3887, 0.0000)
Zn (0.3887, 0.8887, 0.0000)
Zn (0.8887, 0.6113, 0.0000)
Pb (0.0000, 0.0000, 0.0000)
Pb (0.5000, 0.5000, 0.0000)
Ba (0.1918, 0.6918, 0.5000)
Ba (0.8082, 0.3082, 0.5000)
Ba (0.6918, 0.8082, 0.5000)
Ba (0.3082, 0.1918, 0.5000)

Output
Calculated volume in Å³/cell: 327.3


two) Density functional theory data (PBE) for a geometry-optimized Ba2Zn2Pb structure.

abc: 6.5287 6.5287 6.2604
angles: 58.57 58.57 90.00
Atoms (fractional coordinates):
Pb (0.0000, 0.0000, 0.0000)
Ba (0.7500, 0.2500, 0.5000)
Ba (0.2500, 0.7500, 0.5000)
Zn (0.6442, 0.6442, 0.7117)
Zn (0.3558, 0.3558, 0.2883)

Output
Calculated volume in Å³/cell: 180.2


Quick ranking, most stable first: one), two).


one) Density functional theory data (PBE) for a geometry-optimized BaZr2Pb2 structure.

abc: 4.7604 4.7604 7.7317
angles: 72.07 72.07 90.00
Atoms (fractional coordinates):
Zr (0.7500, 0.2500, 0.5000)
Zr (0.2500, 0.7500, 0.5000)
Pb (0.6177, 0.6177, 0.7645)
Pb (0.3823, 0.3823, 0.2355)
Ba (0.0000, 0.0000, 0.0000)

Output
Calculated volume in Å³/cell: 157.7


two) Density functional theory data (PBE) for a geometry-optimized BaZr2Pb2 structure.

abc: 9.1607 9.1607 3.3191
angles: 90.00 90.00 90.00
Atoms (fractional coordinates):
Zr (0.3824, 0.8824, 0.0000)
Zr (0.8824, 0.6176, 0.0000)
Zr (0.1176, 0.3824, 0.0000)
Zr (0.6176, 0.1176, 0.0000)
Pb (0.6733, 0.8267, 0.5000)
Pb (0.3267, 0.1733, 0.5000)
Pb (0.8267, 0.3267, 0.5000)
Pb (0.1733, 0.6733, 0.5000)
Ba (0.5000, 0.5000, 0.0000)
Ba (0.0000, 0.0000, 0.0000)

Output
Calculated volume in Å³/cell: 278.5


Quick ranking, most stable first: one), two).


one) Density functional theory data (PBE) for a geometry-optimized Ba3Pd2 structure.

abc: 4.4653 7.1310 7.1310
angles: 63.95 71.75 71.75
Atoms (fractional coordinates):
Ba (0.1806, 0.3194, 0.3194)
Ba (0.8194, 0.6806, 0.6806)
Ba (0.0000, 0.0000, 0.0000)
Pd (0.5000, 0.6858, 0.3142)
Pd (0.5000, 0.3142, 0.6858)

Output
Calculated volume in Å³/cell: 189.6


two) Density functional theory data (PBE) for a geometry-optimized Ba3Pd2 structure.

abc: 7.9484 7.9484 8.8166
angles: 63.21 63.21 60.00
Atoms (fractional coordinates):
Pd (0.1635, 0.1635, 0.5096)
Pd (0.3365, 0.3365, 0.9904)
Pd (0.8365, 0.8365, 0.4904)
Pd (0.6635, 0.6635, 0.0096)
Ba (0.0727, 0.7500, 0.7500)
Ba (0.5727, 0.9273, 0.2500)
Ba (0.2500, 0.5727, 0.2500)
Ba (0.7500, 0.4273, 0.7500)
Ba (0.9273, 0.2500, 0.2500)
Ba (0.4273, 0.0727, 0.7500)

Output
Calculated volume in Å³/cell: 411.9


Quick ranking, most stable first: two), one).